NbAl2MoO | Alexandria via LeMat-Bulk | PBE+U | optimized geometry; total moment = 0.0 μB per cell; total DFT energy (no corrections) = -26.84 eV/cell
1.0
5.0380 0.0000 0.0000
0.0000 3.6763 0.0000
0.0000 0.0000 5.0380
Nb Al O Mo
1 2 1 1
direct
0.5000 0.5000 0.5000
0.0000 0.0000 0.5000
0.5000 0.0000 0.0000
0.0000 0.5000 0.0000
0.0000 0.0000 0.0000